# 1
Density functional theory data (PBE) for a relaxed structure of TiH8N2F5.

abc: 6.602 7.869 11.248
angles: 90.00 90.00 90.00
Space group Pnma (No. 62)
Symmetry-distinct sites (fractional):
Ti 0.000 0.000 0.000 (multiplicity 4)
H 0.021 0.250 0.278 (multiplicity 4)
H 0.033 0.140 0.734 (multiplicity 8)
H 0.035 0.645 0.594 (multiplicity 8)
H 0.076 0.750 0.380 (multiplicity 4)
H 0.175 0.250 0.633 (multiplicity 4)
H 0.187 0.250 0.392 (multiplicity 4)
N 0.036 0.250 0.369 (multiplicity 4)
N 0.041 0.250 0.680 (multiplicity 4)
F 0.008 0.523 0.824 (multiplicity 8)
F 0.082 0.750 0.021 (multiplicity 4)
F 0.213 0.554 0.496 (multiplicity 8)

Summary:
Calculated volume in Å³/f.u.: 146

=====

# 2
Density functional theory data (PBE) for a relaxed structure of TiHNF2.

abc: 3.019 3.019 4.407
angles: 90.00 90.00 90.00
Space group P4/mmm (No. 123)
Symmetry-distinct sites (fractional):
Ti 0.000 0.000 0.000 (multiplicity 1)
H 0.500 0.500 0.500 (multiplicity 1)
N 0.500 0.500 0.000 (multiplicity 1)
F 0.000 0.500 0.500 (multiplicity 2)

Summary:
Calculated volume in Å³/f.u.: 40

=====

# 3
Density functional theory data (PBE) for a relaxed structure of TlHNF2.

abc: 3.380 3.380 4.462
angles: 90.00 90.00 90.00
Space group P4/mmm (No. 123)
Symmetry-distinct sites (fractional):
Tl 0.000 0.000 0.000 (multiplicity 1)
H 0.500 0.500 0.500 (multiplicity 1)
N 0.500 0.500 0.000 (multiplicity 1)
F 0.000 0.500 0.500 (multiplicity 2)

Summary:
Calculated volume in Å³/f.u.: 51

=====

# 4
Density functional theory data (PBE) for a relaxed structure of TlHNF2.

abc: 4.508 4.508 4.505
angles: 90.00 90.00 90.00
Space group P4/mmm (No. 123)
Symmetry-distinct sites (fractional):
Tl 0.000 0.000 0.000 (multiplicity 1)
H 0.500 0.500 0.500 (multiplicity 1)
N 0.000 0.000 0.500 (multiplicity 1)
F 0.000 0.500 0.000 (multiplicity 2)

Summary:
Calculated volume in Å³/f.u.: 92

=====

no.,electronic total energy (eV per atom),spin magnetization (μB/f.u.)
1,-5.334,1.00
2,-5.552,0.00
3,-3.448,1.15
4,-3.249,3.03